A relaxed structure of ErTaZnRu, computed with GGA-PBE.

Cell and atoms, written as CIF:
```
data_ErTaZnRu
_chemical_formula_sum 'Er4 Ta4 Zn4 Ru4'
_cell_length_a 6.6023
_cell_length_b 6.6023
_cell_length_c 6.6023
_cell_angle_alpha 90.00
_cell_angle_beta 90.00
_cell_angle_gamma 90.00
_space_group_name_H-M_alt 'F -4 3 m'
_space_group_IT_number 216
_space_group_name_Hall 'F -4 2 3'
loop_
_atom_site_label
_atom_site_fract_x
_atom_site_fract_y
_atom_site_fract_z
Er1 0.0000 0.0000 0.0000
Ta1 0.0000 0.0000 0.5000
Zn1 0.2500 0.2500 0.7500
Ru1 0.2500 0.2500 0.2500
```

Properties
- calculated formation energy (eV per atom) = -0.116
- total moment (μB/f.u.) = 0.00
- crystal system = cubic

A relaxed structure of Tb2Er2Ru3, computed with GGA-PBE.

Cell and atoms, written as CIF:
```
data_Tb2Er2Ru3
_chemical_formula_sum 'Tb2 Er2 Ru3'
_cell_length_a 4.8788
_cell_length_b 4.8853
_cell_length_c 7.9841
_cell_angle_alpha 107.50
_cell_angle_beta 90.05
_cell_angle_gamma 119.95
_space_group_name_H-M_alt 'P -1'
_space_group_IT_number 2
loop_
_space_group_symop_operation_xyz
'x,y,z'
'-x,-y,-z'
loop_
_atom_site_label
_atom_site_fract_x
_atom_site_fract_y
_atom_site_fract_z
Tb1 0.1228 0.2457 0.3679
Er1 0.3741 0.7481 0.1211
Ru1 0.2491 0.4979 0.7473
Ru2 0.5000 0.0000 0.5000
```

Properties
- calculated formation energy (eV per atom) = -0.283
- total moment (μB/f.u.) = 0.00
- crystal system = triclinic
- E above lowest polymorph (kJ/mol of formula units) = 0.0

A relaxed structure of Tb2ErRu, computed with GGA-PBE.

Cell and atoms, written as CIF:
```
data_Tb2ErRu
_chemical_formula_sum 'Tb2 Er1 Ru1'
_cell_length_a 3.4376
_cell_length_b 3.4376
_cell_length_c 8.8924
_cell_angle_alpha 90.00
_cell_angle_beta 90.00
_cell_angle_gamma 90.00
_space_group_name_H-M_alt 'P 4/m m m'
_space_group_IT_number 123
_space_group_name_Hall '-P 4 2'
loop_
_atom_site_label
_atom_site_fract_x
_atom_site_fract_y
_atom_site_fract_z
Tb1 0.0000 0.0000 0.1870
Er1 0.5000 0.5000 0.5000
Ru1 0.5000 0.5000 0.0000
```

Properties
- calculated formation energy (eV per atom) = -0.168
- total moment (μB/f.u.) = 0.00
- crystal system = tetragonal
- E above lowest polymorph (kJ/mol of formula units) = 59.2

A relaxed structure of Tb2Er2Ru3, computed with GGA-PBE.

Cell and atoms, written as CIF:
```
data_Tb2Er2Ru3
_chemical_formula_sum 'Tb2 Er2 Ru3'
_cell_length_a 3.4044
_cell_length_b 6.1159
_cell_length_c 7.5960
_cell_angle_alpha 97.41
_cell_angle_beta 90.22
_cell_angle_gamma 105.32
_space_group_name_H-M_alt 'P -1'
_space_group_IT_number 2
loop_
_space_group_symop_operation_xyz
'x,y,z'
'-x,-y,-z'
loop_
_atom_site_label
_atom_site_fract_x
_atom_site_fract_y
_atom_site_fract_z
Tb1 0.0914 0.1443 0.2044
Er1 0.1801 0.3559 0.6605
Ru1 0.3266 0.6863 0.0546
Ru2 0.5000 0.0000 0.5000
```

Properties
- calculated formation energy (eV per atom) = -0.226
- total moment (μB/f.u.) = 0.00
- crystal system = triclinic
- E above lowest polymorph (kJ/mol of formula units) = 39.0

A relaxed structure of Tb5ErRu4, computed with GGA-PBE.

Cell and atoms, written as CIF:
```
data_Tb5ErRu4
_chemical_formula_sum 'Tb10 Er2 Ru8'
_cell_length_a 14.4475
_cell_length_b 4.8344
_cell_length_c 6.7243
_cell_angle_alpha 90.00
_cell_angle_beta 90.27
_cell_angle_gamma 90.00
_space_group_name_H-M_alt 'C 1 2/m 1'
_space_group_IT_number 12
loop_
_space_group_symop_operation_xyz
'x,y,z'
'-x,-y,-z'
'-x,y,-z'
'x,-y,z'
'x+1/2,y+1/2,z'
'-x+1/2,-y+1/2,-z'
'-x+1/2,y+1/2,-z'
'x+1/2,-y+1/2,z'
loop_
_atom_site_label
_atom_site_fract_x
_atom_site_fract_y
_atom_site_fract_z
Tb1 0.0000 0.0000 0.0000
Tb2 0.1659 0.5000 0.4988
Tb3 0.1664 0.5000 0.9995
Er1 0.0000 0.0000 0.5000
Ru1 0.0008 0.5000 0.7486
Ru2 0.1644 0.0000 0.7499
```

Properties
- calculated formation energy (eV per atom) = -0.267
- total moment (μB/f.u.) = 0.00
- crystal system = monoclinic

A relaxed structure of Tb2Er3Ru3, computed with GGA-PBE.

Cell and atoms, written as CIF:
```
data_Tb2Er3Ru3
_chemical_formula_sum 'Tb4 Er6 Ru6'
_cell_length_a 3.4462
_cell_length_b 5.0570
_cell_length_c 20.6312
_cell_angle_alpha 90.00
_cell_angle_beta 90.00
_cell_angle_gamma 90.00
_space_group_name_H-M_alt 'I m m m'
_space_group_IT_number 71
_space_group_name_Hall '-I 2 2'
loop_
_atom_site_label
_atom_site_fract_x
_atom_site_fract_y
_atom_site_fract_z
Tb1 0.0000 0.0000 0.2177
Er1 0.0000 0.0000 0.0000
Er2 0.0000 0.5000 0.1092
Ru1 0.0000 0.0000 0.5000
Ru2 0.0000 0.5000 0.3864
```

Properties
- calculated formation energy (eV per atom) = -0.318
- total moment (μB/f.u.) = 0.00
- crystal system = orthorhombic